# RbSr2Tl (GGA-PBE, relaxed)
data_RbSr2Tl
_chemical_formula_sum 'Rb1 Sr2 Tl1'
_cell_length_a 6.176
_cell_length_b 6.176
_cell_length_c 6.176
_cell_angle_alpha 60.00
_cell_angle_beta 60.00
_cell_angle_gamma 60.00
_symmetry_space_group_name_H-M 'P 1'
_symmetry_Int_Tables_number 1
_symmetry_space_group_name_Hall 'P 1'
loop_
_atom_site_label
_atom_site_fract_x
_atom_site_fract_y
_atom_site_fract_z
_atom_site_occupancy
Rb1 0.000 0.000 0.000 1
Sr1 0.750 0.750 0.750 1
Sr2 0.250 0.250 0.250 1
Tl1 0.500 0.500 0.500 1
# Energy above the lowest structure with this stoichiometry (eV per formula unit): 0.47
# Magnetic moment (μB/f.u.): 0.00
# Energy of formation from the pure elements (eV/atom): -0.0435